No. 1
NaReTcHg2: optimized geometry, PBE.

Cell lengths 5.3733, 4.6785, 5.3733 Å; angles 90.00, 90.00, 90.00 degrees
With the nearest neighbours (Å) after each atom.
Fractional coordinates of all 5 atoms:
Re  0.0000  0.0000  0.0000  2 Tc 2.34
Na  0.5000  0.5000  0.5000  8 Hg 3.56, 4 Tc 3.80
Hg  0.0000  0.0000  0.5000  2 Re 2.69
Hg  0.5000  0.0000  0.0000  2 Re 2.69
Tc  0.0000  0.5000  0.0000  2 Re 2.34

Calculated values
* space group: No. 123
* M_tot: 2.1 μB per cell
* N(E_F): 4.0 states/eV per cell
* calculated total energy: -20.09 eV per formula unit
* ΔH_f (0 K): 89.75 kJ/mol of atoms

=====

No. 2
Na3HgRh: optimized geometry, PBE.

Cell lengths 5.4321, 5.4321, 5.4321 Å; angles 90.00, 90.00, 90.00 degrees
With the nearest neighbours (Å) after each atom.
Fractional coordinates of all 5 atoms:
Na  0.0000  0.5000  0.0000  2 Hg 2.72
Na  0.0000  0.0000  0.5000  2 Hg 2.72
Na  0.5000  0.0000  0.0000  2 Hg 2.72
Rh  0.5000  0.5000  0.5000  12 Na 3.84
Hg  0.0000  0.0000  0.0000  6 Na 2.72

Calculated values
* space group: No. 221
* ΔE to the lowest computed polymorph: 0.325 eV/atom
* M_tot: 0.0 μB per cell
* N(E_F): 4.6 states/eV per cell
* calculated total energy: -7.98 eV per formula unit
* ΔH_f (0 K): 69.97 kJ/mol of atoms